Entry 1:
Material: Cr2RuBr
Method: DFT, SCAN
State: single point on PBEsol structure

Cell lengths 3.309, 3.309, 5.740 Å; angles 90.00, 90.00, 90.00 degrees
Element x y z (fractional)
Cr: 0.000 0.000 0.168
Cr: 0.000 0.000 0.832
Ru: 0.500 0.500 0.000
Br: 0.500 0.500 0.500

## Properties
Energy relative to the lowest polymorph listed for this composition ... 0.745 eV/f.u.
Space group ... P4/mmm (123)
DOS at the Fermi energy ... 2.9 states/eV per cell
Total moment ... 0.00 μB per formula unit
Raw formation energy ... 0.68 eV/atom
Total DFT energy (no corrections) ... -22.082 eV per atom

Entry 2:
Material: Sm4MgRu
Method: DFT, SCAN
State: single point on PBEsol structure

Cell lengths 9.711, 9.711, 9.711 Å; angles 60.00, 60.00, 60.00 degrees
Element x y z (fractional)
Sm: 0.032 0.656 0.656
Sm: 0.062 0.062 0.438
Sm: 0.062 0.438 0.062
Sm: 0.062 0.438 0.438
Sm: 0.188 0.188 0.812
Sm: 0.188 0.812 0.188
Sm: 0.188 0.812 0.812
Sm: 0.438 0.062 0.062
Sm: 0.438 0.062 0.438
Sm: 0.438 0.438 0.062
Sm: 0.656 0.032 0.656
Sm: 0.656 0.656 0.032
Sm: 0.656 0.656 0.656
Sm: 0.812 0.188 0.188
Sm: 0.812 0.188 0.812
Sm: 0.812 0.812 0.188
Mg: 0.421 0.421 0.421
Mg: 0.421 0.421 0.737
Mg: 0.421 0.737 0.421
Mg: 0.737 0.421 0.421
Ru: 0.415 0.862 0.862
Ru: 0.862 0.415 0.862
Ru: 0.862 0.862 0.415
Ru: 0.862 0.862 0.862

## Properties
Calculated formation energy ... -255 meV per atom
Space group ... F-43m (216)
DOS at the Fermi energy ... 23.6 states/eV per cell
Total moment ... 0.29 μB per formula unit
Total DFT energy (no corrections) ... -36.517 eV per atom

Entry 3:
Material: HfCrO4
Method: DFT, SCAN
State: single point on PBEsol structure

Cell lengths 4.646, 11.489, 4.823 Å; angles 90.00, 90.00, 90.00 degrees
Element x y z (fractional)
Hf: 0.000 0.173 0.250
Hf: 0.000 0.827 0.750
Hf: 0.500 0.327 0.750
Hf: 0.500 0.673 0.250
Cr: 0.000 0.436 0.250
Cr: 0.000 0.564 0.750
Cr: 0.500 0.064 0.750
Cr: 0.500 0.936 0.250
O: 0.223 0.316 0.088
O: 0.223 0.684 0.588
O: 0.228 0.446 0.571
O: 0.228 0.554 0.071
O: 0.272 0.054 0.071
O: 0.272 0.946 0.571
O: 0.277 0.184 0.588
O: 0.277 0.816 0.088
O: 0.723 0.184 0.912
O: 0.723 0.816 0.412
O: 0.728 0.054 0.429
O: 0.728 0.946 0.929
O: 0.772 0.446 0.929
O: 0.772 0.554 0.429
O: 0.777 0.316 0.412
O: 0.777 0.684 0.912

## Properties
Space group ... Pbcn (60)
DOS at the Fermi energy ... 9.3 states/eV per cell
Total moment ... 2.00 μB per formula unit
Raw formation energy ... -2.98 eV/atom
Total DFT energy (no corrections) ... -20.645 eV per atom

Entry 4:
Material: LaCr2InHg
Method: DFT, SCAN
State: single point on PBEsol structure

Cell lengths 4.847, 4.847, 5.769 Å; angles 90.00, 90.00, 90.00 degrees
Element x y z (fractional)
La: 0.000 0.000 0.000
Cr: 0.000 0.500 0.000
Cr: 0.500 0.000 0.000
In: 0.500 0.500 0.500
Hg: 0.000 0.000 0.500

## Properties
Calculated formation energy ... 1340 meV per atom
Space group ... P4/mmm (123)
DOS at the Fermi energy ... 3.4 states/eV per cell
Total moment ... 7.24 μB per formula unit
Total DFT energy (no corrections) ... -34.946 eV per atom

Entry 5:
Material: CrPdC2I
Method: DFT, SCAN
State: single point on PBEsol structure

Cell lengths 4.186, 4.186, 4.935 Å; angles 90.00, 90.00, 90.00 degrees
Element x y z (fractional)
Cr: 0.000 0.000 0.000
Pd: 0.500 0.500 0.000
C: 0.000 0.500 0.500
C: 0.500 0.000 0.500
I: 0.000 0.000 0.500

## Properties
Space group ... P4/mmm (123)
DOS at the Fermi energy ... 3.2 states/eV per cell
Total moment ... 2.63 μB per formula unit
Raw formation energy ... 2.87 eV/atom
Total DFT energy (no corrections) ... -18.746 eV per atom

Entry 6:
Material: K2TiSi3O9
Method: DFT, SCAN
State: single point on PBEsol structure

Cell lengths 6.772, 6.772, 10.004 Å; angles 90.00, 90.00, 120.00 degrees
Element x y z (fractional)
K: 0.333 0.667 0.055
K: 0.333 0.667 0.445
K: 0.667 0.333 0.555
K: 0.667 0.333 0.945
Ti: 0.000 0.000 0.000
Ti: 0.000 0.000 0.500
Si: 0.125 0.749 0.750
Si: 0.251 0.376 0.750
Si: 0.376 0.125 0.250
Si: 0.624 0.875 0.750
Si: 0.749 0.624 0.250
Si: 0.875 0.251 0.250
O: 0.015 0.772 0.612
O: 0.015 0.772 0.888
O: 0.080 0.484 0.750
O: 0.228 0.243 0.612
O: 0.228 0.243 0.888
O: 0.243 0.015 0.112
O: 0.243 0.015 0.388
O: 0.404 0.920 0.750
O: 0.484 0.404 0.250
O: 0.516 0.596 0.750
O: 0.596 0.080 0.250
O: 0.757 0.985 0.612
O: 0.757 0.985 0.888
O: 0.772 0.757 0.112
O: 0.772 0.757 0.388
O: 0.920 0.516 0.250
O: 0.985 0.228 0.112
O: 0.985 0.228 0.388

## Properties
Energy relative to the lowest polymorph listed for this composition ... 0.000 eV/f.u.
Space group ... P6_3/m (176)
DOS at the Fermi energy ... 0.0 states/eV per cell
Total moment ... 0.00 μB per formula unit
Raw formation energy ... -2.99 eV/atom
Total DFT energy (no corrections) ... -10.908 eV per atom

Entry 7:
Material: TaCrW2
Method: DFT, SCAN
State: single point on PBEsol structure

Cell lengths 4.402, 4.402, 4.402 Å; angles 60.00, 60.00, 60.00 degrees
Element x y z (fractional)
Ta: 0.000 0.000 0.000
Cr: 0.250 0.250 0.250
W: 0.500 0.500 0.500
W: 0.750 0.750 0.750

## Properties
Energy relative to the lowest polymorph listed for this composition ... 0.026 eV/f.u.
Calculated formation energy ... -32 meV per atom
Space group ... F-43m (216)
DOS at the Fermi energy ... 1.8 states/eV per cell
Total moment ... 0.00 μB per formula unit
Total DFT energy (no corrections) ... -56.118 eV per atom

Entry 8:
Material: TlSbPb
Method: DFT, SCAN
State: single point on PBEsol structure

Cell lengths 6.575, 6.575, 6.575 Å; angles 149.26, 143.14, 48.74 degrees
Element x y z (fractional)
Tl: 0.000 0.000 0.000
Sb: 0.335 0.335 0.000
Pb: 0.687 0.687 0.000

## Properties
Energy relative to the lowest polymorph listed for this composition ... 0.110 eV/f.u.
Space group ... Imm2 (44)
DOS at the Fermi energy ... 1.3 states/eV per cell
Total moment ... 0.00 μB per formula unit
Raw formation energy ... 0.04 eV/atom
Total DFT energy (no corrections) ... -61.761 eV per atom